Record 1
Entry from Alexandria via LeMat-Bulk: ZnGaTcMo after structural relaxation (GGA-PBE).

Its energy relative to the elements is 0.02 eV per atom.

The structure belongs to space group F-43m (No. 216); the cell edges are 6.180, 6.180 and 6.180 Å and the angles 90.00°, 90.00° and 90.00°. The asymmetric unit holds Zn at (0.000, 0.000, 0.000), Ga at (0.250, 0.250, 0.750), Tc at (0.000, 0.000, 0.500) and Mo at (0.250, 0.250, 0.250).

---

Record 2
Entry from Alexandria via LeMat-Bulk: ZrGaTcMo2 after structural relaxation (GGA-PBE).

Its energy relative to the elements is 0.97 eV per atom.

The structure belongs to space group P4/mmm (No. 123); the cell edges are 4.723, 4.723 and 4.670 Å and the angles 90.00°, 90.00° and 90.00°. The asymmetric unit holds Zr at (0.000, 0.000, 0.000), Ga at (0.500, 0.500, 0.000), Tc at (0.500, 0.500, 0.500) and Mo at (0.000, 0.500, 0.500).

---

Record 3
Entry from Alexandria via LeMat-Bulk: GaTe2Mo after structural relaxation (GGA-PBE).

The value obtained for the formation energy without anion corrections is 0.053 eV per atom.

The structure belongs to space group R-3m (No. 166, hexagonal axes); the cell edges are 3.4399, 3.4399 and 30.4803 Å and the angles 90.00°, 90.00° and 120.00°. The asymmetric unit holds Ga at (0.0000, 0.0000, 0.0000), Te at (0.0000, 0.0000, 0.1046) and Mo at (0.0000, 0.0000, 0.5000).

---

Record 4
Entry from Alexandria via LeMat-Bulk: GaTeMo3 after structural relaxation (GGA-PBE).

For the relative energy among the computed polymorphs, the calculation gives 0.0 meV per atom. The value obtained for the formation energy without anion corrections is 1.468 eV per atom.

The structure belongs to space group Pm-3m (No. 221); the cell edges are 4.676, 4.676 and 4.676 Å and the angles 90.00°, 90.00° and 90.00°. The asymmetric unit holds Ga at (0.000, 0.000, 0.000), Te at (0.500, 0.500, 0.500) and Mo at (0.000, 0.000, 0.500).